MnCd2Co | meta-GGA SCAN | PBEsol geometry

Unit cell a=3.9276 b=3.9276 c=4.0086 alpha=90.00 beta=90.00 gamma=90.00
Last column: nearest neighbours and their distance in Å.
Space group P4/mmm (No. 123)
Unique sites:
1 Mn 0.0000 0.0000 0.0000 (multiplicity 1)  4 Co 2.78, 8 Cd 2.81
2 Cd 0.0000 0.5000 0.5000 (multiplicity 2)  4 Cd 2.78, 4 Mn 2.81, 4 Co 2.81
3 Co 0.5000 0.5000 0.0000 (multiplicity 1)  4 Mn 2.78, 8 Cd 2.81

Values from the calculation:
* polymorph energy (0 for the lowest one): 0 meV/atom
* formation energy from the elements: 0.123 eV per atom
* total magnetic moment: 5.52 Bohr magnetons per cell

***

BeAu2F | meta-GGA SCAN | PBEsol geometry

Unit cell a=5.9065 b=5.9065 c=5.9065 alpha=90.00 beta=90.00 gamma=90.00
Last column: nearest neighbours and their distance in Å.
Space group Fm-3m (No. 225)
Unique sites:
1 Be 0.0000 0.0000 0.0000 (multiplicity 4)  8 Au 2.56
2 Au 0.2500 0.2500 0.2500 (multiplicity 8)  4 F 2.56, 4 Be 2.56
3 F 0.0000 0.0000 0.5000 (multiplicity 4)  8 Au 2.56

Values from the calculation:
* total magnetic moment: 0.00 Bohr magnetons per cell
* formation energy without anion corrections: -0.298 eV per atom

***

RbRuW3 | meta-GGA SCAN | PBEsol geometry

Unit cell a=4.8023 b=4.8023 c=4.8023 alpha=90.00 beta=90.00 gamma=90.00
Last column: nearest neighbours and their distance in Å.
Space group Pm-3m (No. 221)
Unique sites:
1 Rb 0.0000 0.0000 0.0000 (multiplicity 1)  12 W 3.40
2 Ru 0.5000 0.5000 0.5000 (multiplicity 1)  6 W 2.40
3 W 0.0000 0.5000 0.5000 (multiplicity 3)  2 Ru 2.40

Values from the calculation:
* formation energy from the elements: 2.340 eV per atom
* total magnetic moment: 0.01 Bohr magnetons per cell

***

ZrSi2Br | meta-GGA SCAN | PBEsol geometry

Unit cell a=3.2291 b=3.2291 c=7.5972 alpha=90.00 beta=90.00 gamma=90.00
Last column: nearest neighbours and their distance in Å.
Space group P4mm (No. 99)
Unique sites:
1 Zr 0.0000 0.0000 0.0000 (multiplicity 1)  5 Si 2.85-2.88, 4 Br 2.86
2 Si 0.0000 0.0000 0.6244 (multiplicity 1)  4 Si 2.53
3 Si 0.5000 0.5000 0.7686 (multiplicity 1)  4 Si 2.53
4 Br 0.5000 0.5000 0.2274 (multiplicity 1)  4 Zr 2.86

Values from the calculation:
* polymorph energy (0 for the lowest one): 0 meV/atom
* total magnetic moment: 0.00 Bohr magnetons per cell
* formation energy without anion corrections: -0.246 eV per atom

***

FePb3Br | meta-GGA SCAN | PBEsol geometry

Unit cell a=5.5533 b=5.5533 c=5.5533 alpha=90.00 beta=90.00 gamma=90.00
Last column: nearest neighbours and their distance in Å.
Space group Pm-3m (No. 221)
Unique sites:
1 Fe 0.0000 0.0000 0.0000 (multiplicity 1)  12 Pb 3.93
2 Pb 0.0000 0.5000 0.5000 (multiplicity 3)  2 Br 2.78
3 Br 0.5000 0.5000 0.5000 (multiplicity 1)  6 Pb 2.78

Values from the calculation:
* total magnetic moment: 3.22 Bohr magnetons per cell
* formation energy without anion corrections: 1.063 eV per atom

***

AlP2Rh | meta-GGA SCAN | PBEsol geometry

Unit cell a=6.2684 b=3.4390 c=5.8881 alpha=90.00 beta=108.86 gamma=90.00
Last column: nearest neighbours and their distance in Å.
Space group C2/m (No. 12)
Unique sites:
1 Al 0.0000 0.0000 0.0000 (multiplicity 2)  6 P 2.53-2.55
2 P 0.2444 0.0000 0.7285 (multiplicity 4)  3 Rh 2.40, 3 Al 2.53-2.55
3 Rh 0.0000 0.5000 0.5000 (multiplicity 2)  6 P 2.40

Values from the calculation:
* formation energy from the elements: -0.315 eV per atom
* total magnetic moment: 0.00 Bohr magnetons per cell